The following is a PBE calculation of an optimized crystal structure of Pm2TmCuSe5, from the Alexandria database.

The structure in CIF format:
```
data_Pm2TmCuSe5
_chemical_formula_sum 'Pm8 Tm4 Cu4 Se20'
_cell_length_a 4.043
_cell_length_b 17.561
_cell_length_c 12.102
_cell_angle_alpha 90.00
_cell_angle_beta 90.00
_cell_angle_gamma 90.00
_symmetry_space_group_name_H-M 'C m c 21'
_symmetry_Int_Tables_number 36
loop_
_symmetry_equiv_pos_as_xyz
'x,y,z'
'-x,-y,z+1/2'
'-x,y,z'
'x,-y,z+1/2'
'x+1/2,y+1/2,z'
'-x+1/2,-y+1/2,z+1/2'
'-x+1/2,y+1/2,z'
'x+1/2,-y+1/2,z+1/2'
loop_
_atom_site_label
_atom_site_type_symbol
_atom_site_fract_x
_atom_site_fract_y
_atom_site_fract_z
Pm1 Pm 0.000 0.109 0.000
Pm2 Pm 0.000 0.123 0.622
Tm1 Tm 0.000 0.193 0.324
Cu1 Cu 0.000 0.435 0.769
Se1 Se 0.000 0.043 0.376
Se2 Se 0.000 0.287 0.986
Se3 Se 0.000 0.311 0.661
Se4 Se 0.000 0.356 0.315
Se5 Se 0.000 0.499 0.094
```

- ΔE_f (raw): -36.585 kcal/mol of atoms
- Crystal system: orthorhombic